The following is a PBE calculation of an optimized crystal structure of LaAuS2, from Alexandria.

Properties
**Uncorrected formation energy**: -1.08 eV/atom
**ΔE to the lowest computed polymorph**: 317 meV/atom
**Fermi-level density of states**: 0.014 states/eV/atom
**Spin magnetization**: 0.0 μB/f.u.
**Space group**: R3m
**Uncorrected energy**: -5.196 eV/atom

abc: 7.308 7.308 7.308
angles: 35.03 35.03 35.03
Positions (direct):
S: 0.144 0.144 0.144
S: 0.626 0.626 0.626
Au: 0.470 0.470 0.470
La: 0.012 0.012 0.012